1.
# Ac12TlSi6

A relaxed Ac12TlSi6 crystal (GGA-PBE, Alexandria).

abc: 9.515 9.515 9.515
angles: 109.47 109.47 109.47
Fractional coordinates of all 19 atoms:
Ac 0.112 0.812 0.300
Ac 0.700 0.511 0.812
Ac 0.489 0.188 0.300
Ac 0.511 0.812 0.700
Ac 0.188 0.300 0.489
Ac 0.812 0.300 0.112
Ac 0.888 0.188 0.700
Ac 0.300 0.112 0.812
Ac 0.188 0.700 0.888
Ac 0.300 0.489 0.188
Ac 0.812 0.700 0.511
Ac 0.700 0.888 0.188
Si 0.500 0.891 0.391
Si 0.609 0.500 0.109
Si 0.891 0.391 0.500
Si 0.391 0.500 0.891
Si 0.500 0.109 0.609
Si 0.109 0.609 0.500
Tl 0.000 0.000 0.000

Formation energy from raw total energies ... -0.428 eV per atom
Density of states at the Fermi level ... 8.20 states/eV/cell

2.
# CaLa2Si2

A relaxed CaLa2Si2 crystal (GGA-PBE, Alexandria).

abc: 8.709 8.709 3.560
angles: 90.00 90.00 90.00
Fractional coordinates of all 10 atoms:
La 0.874 0.626 0.000
La 0.626 0.126 0.000
La 0.374 0.874 0.000
La 0.126 0.374 0.000
Ca 0.500 0.500 0.000
Ca 0.000 0.000 0.000
Si 0.827 0.327 0.500
Si 0.673 0.827 0.500
Si 0.173 0.673 0.500
Si 0.327 0.173 0.500

Formation energy from raw total energies ... -0.365 eV per atom
Offset from the most stable computed form ... 184.2 meV per atom
Density of states at the Fermi level ... 3.93 states/eV/cell

3.
# LaEr3Ir

A relaxed LaEr3Ir crystal (GGA-PBE, Alexandria).

abc: 5.423 5.423 5.423
angles: 90.00 90.00 90.00
Fractional coordinates of all 5 atoms:
La 0.500 0.500 0.500
Er 0.000 0.500 0.000
Er 0.000 0.000 0.500
Er 0.500 0.000 0.000
Ir 0.000 0.000 0.000

E ... -29.19 eV/cell
Density of states at the Fermi level ... 6.52 states/eV/cell

4.
# CsZn2Se

A relaxed CsZn2Se crystal (GGA-PBE, Alexandria).

abc: 8.659 8.659 7.117
angles: 52.53 52.53 90.00
Fractional coordinates of all 8 atoms:
Cs 0.750 0.250 0.500
Cs 0.000 0.000 0.000
Zn 0.375 0.471 0.750
Zn 0.529 0.125 0.250
Zn 0.221 0.625 0.250
Zn 0.875 0.779 0.750
Se 0.500 0.500 0.000
Se 0.250 0.750 0.500

Formation energy from raw total energies ... -0.096 eV per atom
Density of states at the Fermi level ... 6.46 states/eV/cell

5.
# PdSe2N

A relaxed PdSe2N crystal (GGA-PBE, Alexandria).

abc: 3.605 8.549 12.242
angles: 31.13 125.85 114.69
Fractional coordinates of all 8 atoms:
Se 0.855 0.074 0.266
Se 0.827 0.708 0.185
Se 0.145 0.926 0.734
Se 0.173 0.292 0.815
N 0.487 0.631 0.053
N 0.513 0.369 0.947
Pd 0.410 0.674 0.493
Pd 0.590 0.326 0.507

Formation energy from raw total energies ... 0.414 eV per atom
Density of states at the Fermi level ... 2.82 states/eV/cell

6.
# ZrTc3

A relaxed ZrTc3 crystal (GGA-PBE, Alexandria).

abc: 2.799 2.799 8.763
angles: 90.00 90.00 109.07
Fractional coordinates of all 4 atoms:
Tc 0.000 0.000 0.985
Tc 0.000 0.000 0.515
Tc 0.500 0.500 0.750
Zr 0.500 0.500 0.250

E ... -39.07 eV/cell
Density of states at the Fermi level ... 5.38 states/eV/cell

7.
# Nb2SbRh2

A relaxed Nb2SbRh2 crystal (GGA-PBE, Alexandria).

abc: 7.738 7.738 2.986
angles: 90.00 90.00 90.00
Fractional coordinates of all 10 atoms:
Sb 0.000 0.000 0.000
Sb 0.500 0.500 0.000
Nb 0.840 0.340 0.500
Nb 0.340 0.160 0.500
Nb 0.160 0.660 0.500
Nb 0.660 0.840 0.500
Rh 0.131 0.369 0.000
Rh 0.631 0.131 0.000
Rh 0.869 0.631 0.000
Rh 0.369 0.869 0.000

Formation energy from raw total energies ... -0.243 eV per atom
Offset from the most stable computed form ... 0.0 meV per atom
Density of states at the Fermi level ... 7.60 states/eV/cell

8.
# La6Tb2PmNd

A relaxed La6Tb2PmNd crystal (GGA-PBE, Alexandria).

abc: 9.014 7.231 6.734
angles: 122.48 100.90 90.00
Fractional coordinates of all 10 atoms:
La 0.566 0.362 0.724
La 0.434 0.638 0.276
La 0.801 0.955 0.357
La 0.801 0.402 0.357
La 0.199 0.045 0.643
La 0.199 0.598 0.643
Nd 0.500 0.000 0.000
Tb 0.158 0.092 0.185
Tb 0.842 0.908 0.815
Pm 0.000 0.500 0.000

E ... -46.49 eV/cell
Density of states at the Fermi level ... 19.61 states/eV/cell

9.
# Nd2Sm6Ho3

A relaxed Nd2Sm6Ho3 crystal (GGA-PBE, Alexandria).

abc: 4.786 4.786 17.226
angles: 97.99 97.99 90.00
Fractional coordinates of all 11 atoms:
Sm 0.878 0.378 0.756
Sm 0.122 0.622 0.244
Sm 0.302 0.302 0.603
Sm 0.378 0.878 0.756
Sm 0.698 0.698 0.397
Sm 0.622 0.122 0.244
Nd 0.546 0.546 0.091
Nd 0.454 0.454 0.909
Ho 0.000 0.000 0.000
Ho 0.800 0.800 0.601
Ho 0.200 0.200 0.399

Offset from the most stable computed form ... 262.2 meV per atom
Density of states at the Fermi level ... 15.36 states/eV/cell

10.
# AuCl2

A relaxed AuCl2 crystal (GGA-PBE, Alexandria).

abc: 7.143 7.143 7.143
angles: 153.37 153.37 38.02
Last column: magnetic moment on the atom in μB.
Fractional coordinates of all 3 atoms:
Au 0.500 0.500 0.000  0.30
Cl 0.120 0.120 0.000  0.25
Cl 0.880 0.880 0.000  0.25

Formation energy from raw total energies ... 0.296 eV per atom
Density of states at the Fermi level ... 4.70 states/eV/cell

11.
# Tl2Co2I7

A relaxed Tl2Co2I7 crystal (GGA-PBE, Alexandria).

abc: 7.101 8.668 16.489
angles: 90.00 90.00 99.19
Last column: magnetic moment on the atom in μB.
Fractional coordinates of all 22 atoms:
Tl 0.369 0.535 0.658  0.03
Tl 0.369 0.035 0.842  0.03
Tl 0.631 0.465 0.342  0.03
Tl 0.631 0.965 0.158  0.03
Co 0.174 0.362 0.109  2.37
Co 0.174 0.862 0.391  2.37
Co 0.826 0.638 0.891  2.37
Co 0.826 0.138 0.609  2.37
I 0.468 0.549 0.153  0.17
I 0.468 0.049 0.347  0.17
I 0.958 0.281 0.229  0.18
I 0.532 0.951 0.653  0.17
I 0.731 0.887 0.948  0.18
I 0.042 0.219 0.729  0.18
I 0.731 0.387 0.552  0.18
I 0.000 0.000 0.500  0.24
I 0.269 0.613 0.448  0.18
I 0.042 0.719 0.771  0.18
I 0.958 0.781 0.271  0.18
I 0.269 0.113 0.052  0.18
I 0.532 0.451 0.847  0.17
I 0.000 0.500 0.000  0.24

Formation energy from raw total energies ... -0.208 eV per atom
Density of states at the Fermi level ... 18.31 states/eV/cell

12.
# CdPRu2

A relaxed CdPRu2 crystal (GGA-PBE, Alexandria).

abc: 3.653 2.977 5.877
angles: 75.48 90.00 90.00
Fractional coordinates of all 4 atoms:
Cd 0.500 0.500 0.000
Ru 0.000 0.842 0.297
Ru 0.000 0.158 0.703
P 0.500 0.500 0.500

Offset from the most stable computed form ... 77.5 meV per atom
Density of states at the Fermi level ... 1.87 states/eV/cell

13.
# Ho5Cd4Cu

A relaxed Ho5Cd4Cu crystal (GGA-PBE, Alexandria).

abc: 3.629 3.629 18.885
angles: 90.00 90.00 90.00
Fractional coordinates of all 10 atoms:
Ho 0.500 0.500 0.294
Ho 0.500 0.500 0.500
Ho 0.500 0.500 0.087
Ho 0.500 0.500 0.706
Ho 0.500 0.500 0.913
Cu 0.000 0.000 0.000
Cd 0.000 0.000 0.808
Cd 0.000 0.000 0.602
Cd 0.000 0.000 0.398
Cd 0.000 0.000 0.192

E ... -33.58 eV/cell
Density of states at the Fermi level ... 9.35 states/eV/cell

14.
# ZrMnNi2Cl

A relaxed ZrMnNi2Cl crystal (GGA-PBE, Alexandria).

abc: 4.166 4.774 4.166
angles: 90.00 90.00 90.00
Last column: magnetic moment on the atom in μB.
Fractional coordinates of all 5 atoms:
Zr 0.000 0.500 0.000  -0.40
Mn 0.500 0.500 0.500  3.75
Ni 0.000 0.000 0.500  0.10
Ni 0.500 0.000 0.000  0.10
Cl 0.000 0.000 0.000  0.02

Formation energy from raw total energies ... 0.417 eV per atom
Density of states at the Fermi level ... 3.12 states/eV/cell

15.
# Nb3SiAg

A relaxed Nb3SiAg crystal (GGA-PBE, Alexandria).

abc: 4.875 4.875 4.875
angles: 90.00 90.00 90.00
Fractional coordinates of all 5 atoms:
Ag 0.000 0.000 0.000
Si 0.500 0.500 0.500
Nb 0.000 0.500 0.000
Nb 0.000 0.000 0.500
Nb 0.500 0.000 0.000

Formation energy from raw total energies ... 1.825 eV per atom
Offset from the most stable computed form ... 1126.5 meV per atom
Density of states at the Fermi level ... 3.54 states/eV/cell

16.
# Tb2NdCdO

A relaxed Tb2NdCdO crystal (GGA-PBE, Alexandria).

abc: 4.978 4.821 4.821
angles: 90.00 90.00 90.00
Fractional coordinates of all 5 atoms:
Nd 0.500 0.000 0.000
Tb 0.000 0.500 0.000
Tb 0.000 0.000 0.500
O 0.000 0.000 0.000
Cd 0.500 0.500 0.500

Formation energy from raw total energies ... -1.304 eV per atom
Density of states at the Fermi level ... 2.56 states/eV/cell

17.
# Ac3AlSi

A relaxed Ac3AlSi crystal (GGA-PBE, Alexandria).

abc: 4.356 8.683 9.194
angles: 92.74 89.97 104.44
Fractional coordinates of all 10 atoms:
Ac 0.426 0.887 0.623
Ac 0.974 0.981 0.039
Ac 0.261 0.555 0.038
Ac 0.618 0.267 0.799
Ac 0.070 0.173 0.382
Ac 0.783 0.599 0.384
Al 0.809 0.651 0.773
Al 0.235 0.503 0.649
Si 0.630 0.292 0.145
Si 0.414 0.862 0.277

Formation energy from raw total energies ... -0.297 eV per atom
Density of states at the Fermi level ... 8.10 states/eV/cell

18.
# Ac3ZnAg3

A relaxed Ac3ZnAg3 crystal (GGA-PBE, Alexandria).

abc: 4.829 4.100 10.913
angles: 100.83 102.78 90.00
Fractional coordinates of all 7 atoms:
Zn 0.434 0.434 0.868
Ac 0.312 0.812 0.624
Ac 0.688 0.188 0.375
Ac 0.000 0.000 0.000
Ag 0.138 0.638 0.277
Ag 0.866 0.366 0.733
Ag 0.562 0.562 0.124

E ... -24.11 eV/cell
Density of states at the Fermi level ... 4.60 states/eV/cell

19.
# AlAgPbW2

A relaxed AlAgPbW2 crystal (GGA-PBE, Alexandria).

abc: 5.223 5.101 5.223
angles: 90.00 90.00 90.00
Last column: magnetic moment on the atom in μB.
Fractional coordinates of all 5 atoms:
W 0.500 0.000 0.000  2.05
W 0.000 0.000 0.500  2.19
Pb 0.000 0.000 0.000  -0.02
Ag 0.500 0.500 0.500  0.03
Al 0.000 0.500 0.000  0.00

E ... -22.93 eV/cell
Density of states at the Fermi level ... 4.99 states/eV/cell

20.
# K2GeBr2Cl2

A relaxed K2GeBr2Cl2 crystal (GGA-PBE, Alexandria).

abc: 4.250 7.568 8.369
angles: 61.39 75.24 89.94
Fractional coordinates of all 7 atoms:
Cl 0.815 0.857 0.370
Cl 0.185 0.143 0.630
Br 0.518 0.278 0.963
Br 0.482 0.722 0.037
Ge 0.000 0.000 0.000
K 0.158 0.692 0.683
K 0.842 0.308 0.317

Formation energy from raw total energies ... -1.330 eV per atom
Density of states at the Fermi level ... 0.00 states/eV/cell

21.
# Si2HgSe

A relaxed Si2HgSe crystal (GGA-PBE, Alexandria).

abc: 4.826 4.826 4.826
angles: 60.00 60.00 60.00
Fractional coordinates of all 4 atoms:
Si 0.250 0.250 0.250
Si 0.000 0.000 0.000
Hg 0.500 0.500 0.500
Se 0.750 0.750 0.750

Formation energy from raw total energies ... 0.664 eV per atom
Offset from the most stable computed form ... 514.6 meV per atom
Density of states at the Fermi level ... 3.36 states/eV/cell

22.
# TiMnCd3

A relaxed TiMnCd3 crystal (GGA-PBE, Alexandria).

abc: 4.879 4.879 4.879
angles: 90.00 90.00 90.00
Fractional coordinates of all 5 atoms:
Cd 0.000 0.000 0.500
Cd 0.000 0.500 0.000
Cd 0.500 0.000 0.000
Mn 0.000 0.000 0.000
Ti 0.500 0.500 0.500

E ... -14.36 eV/cell
Density of states at the Fermi level ... 10.70 states/eV/cell

23.
# Ba2ZnCr

A relaxed Ba2ZnCr crystal (GGA-PBE, Alexandria).

abc: 9.031 9.031 9.031
angles: 30.04 30.04 30.04
Last column: magnetic moment on the atom in μB.
Fractional coordinates of all 4 atoms:
Ba 0.213 0.213 0.213  0.02
Ba 0.037 0.037 0.037  0.02
Zn 0.792 0.792 0.792  -0.02
Cr 0.458 0.458 0.458  3.80

E ... -13.81 eV/cell
Density of states at the Fermi level ... 3.36 states/eV/cell

24.
# Hf2Sc2Os

A relaxed Hf2Sc2Os crystal (GGA-PBE, Alexandria).

abc: 6.554 6.554 4.937
angles: 90.00 90.00 90.00
Fractional coordinates of all 10 atoms:
Sc 0.149 0.351 0.000
Sc 0.851 0.649 0.000
Sc 0.649 0.149 0.000
Sc 0.351 0.851 0.000
Os 0.000 0.000 0.000
Os 0.500 0.500 0.000
Hf 0.665 0.835 0.500
Hf 0.165 0.665 0.500
Hf 0.835 0.335 0.500
Hf 0.335 0.165 0.500

Offset from the most stable computed form ... 312.3 meV per atom
Density of states at the Fermi level ... 4.44 states/eV/cell